A plane-wave DFT calculation with PBE was carried out for an optimized crystal structure of InNiAu.

Calculated values
- DFT formation energy: -0.04 eV/atom
- Crystal system: orthorhombic

Cell: 5.1779 5.1779 5.1779 Å, 143.01 142.88 53.41°
Closest atoms and distances in Å follow each position.
Sites, in units of the cell vectors:
In (0.0000, 0.0000, 0.0000)  4 Ni 2.71, 5 Au 2.89-2.90
Ni (0.6494, 0.6494, 0.0000)  4 In 2.71, 4 Au 2.77
Au (0.3126, 0.3126, 0.0000)  4 Ni 2.77, 5 In 2.89-2.90

A plane-wave DFT calculation with PBE was carried out for an optimized crystal structure of Ba3Sb5Pd6.

Calculated values
- Crystal system: orthorhombic
- Formation energy (no corrections): -0.752 eV/atom

Cell: 4.5721 13.8223 11.2613 Å, 90.00 90.00 90.00°
Closest atoms and distances in Å follow each position.
Sites, in units of the cell vectors:
Ba (0.2500, 0.0919, 0.2439)  7 Pd 3.46-3.76, 6 Sb 3.54-3.59
Ba (0.2500, 0.4081, 0.2439)  7 Pd 3.46-3.76, 6 Sb 3.54-3.59
Ba (0.2500, 0.7500, 0.2498)  6 Sb 3.42-3.53, 10 Pd 3.50-3.75
Ba (0.7500, 0.2500, 0.7502)  6 Sb 3.42-3.53, 10 Pd 3.50-3.75
Ba (0.7500, 0.5919, 0.7561)  7 Pd 3.46-3.76, 6 Sb 3.54-3.59
Ba (0.7500, 0.9081, 0.7561)  7 Pd 3.46-3.76, 6 Sb 3.54-3.59
Sb (0.2500, 0.0793, 0.6353)  5 Pd 2.69-2.80
Sb (0.2500, 0.4207, 0.6353)  5 Pd 2.69-2.80
Sb (0.2500, 0.6171, 0.9941)  5 Pd 2.77-2.94
Sb (0.2500, 0.7500, 0.6058)  4 Pd 2.66-2.71
Sb (0.2500, 0.8829, 0.9941)  5 Pd 2.77-2.94
Sb (0.7500, 0.1171, 0.0059)  5 Pd 2.77-2.94
Sb (0.7500, 0.2500, 0.3942)  4 Pd 2.66-2.71
Sb (0.7500, 0.3829, 0.0059)  5 Pd 2.77-2.94
Sb (0.7500, 0.5793, 0.3647)  5 Pd 2.69-2.80
Sb (0.7500, 0.9207, 0.3647)  5 Pd 2.69-2.80
Pd (0.2500, 0.0645, 0.8833)  4 Sb 2.77-2.80, 1 Pd 2.85
Pd (0.2500, 0.2500, 0.5154)  4 Sb 2.66-2.72
Pd (0.2500, 0.2500, 0.9944)  2 Pd 2.85, 4 Sb 2.94
Pd (0.2500, 0.4355, 0.8833)  4 Sb 2.77-2.80, 1 Pd 2.85
Pd (0.2500, 0.5769, 0.4933)  4 Sb 2.69-2.71
Pd (0.2500, 0.9231, 0.4933)  4 Sb 2.69-2.71
Pd (0.7500, 0.0769, 0.5067)  4 Sb 2.69-2.71
Pd (0.7500, 0.4231, 0.5067)  4 Sb 2.69-2.71
Pd (0.7500, 0.5645, 0.1167)  4 Sb 2.77-2.80, 1 Pd 2.85
Pd (0.7500, 0.7500, 0.0056)  2 Pd 2.85, 4 Sb 2.94
Pd (0.7500, 0.7500, 0.4846)  4 Sb 2.66-2.72
Pd (0.7500, 0.9355, 0.1167)  4 Sb 2.77-2.80, 1 Pd 2.85